1.
## CaSn3Pd5 (PBE)

Data for a relaxed structure of CaSn3Pd5.

Cell lengths 7.3469, 7.3469, 13.4814 Å; angles 90.00, 90.00, 148.15 degrees
Fractional coordinates of all 18 atoms:
Ca  0.1019  0.8981  0.7500
Ca  0.8981  0.1019  0.2500
Sn  0.1350  0.8650  0.2500
Sn  0.3792  0.6208  0.0490
Sn  0.3792  0.6208  0.4510
Sn  0.6208  0.3792  0.5490
Sn  0.6208  0.3792  0.9510
Sn  0.8650  0.1350  0.7500
Pd  0.0000  0.0000  0.0000
Pd  0.0000  0.0000  0.5000
Pd  0.1952  0.8048  0.0630
Pd  0.1952  0.8048  0.4370
Pd  0.4492  0.5508  0.6449
Pd  0.4492  0.5508  0.8551
Pd  0.5508  0.4492  0.1449
Pd  0.5508  0.4492  0.3551
Pd  0.8048  0.1952  0.5630
Pd  0.8048  0.1952  0.9370

Calculated density ... 8.03 Mg/m³
D(E_F) ... 0.523 states/eV/atom
Energy of formation from the pure elements ... -0.550 eV per atom
DFT total energy ... -4.991 eV/atom
Space-group type ... Cmcm


2.
## Ca2Sn8Pd (PBE)

Data for a relaxed structure of Ca2Sn8Pd.

Cell lengths 4.7453, 4.7453, 12.7960 Å; angles 90.00, 90.00, 90.00 degrees
Fractional coordinates of all 11 atoms:
Ca  0.0000  0.0000  0.1885
Ca  0.0000  0.0000  0.8115
Sn  0.0000  0.5000  0.0000
Sn  0.0000  0.5000  0.3763
Sn  0.0000  0.5000  0.6237
Sn  0.5000  0.0000  0.0000
Sn  0.5000  0.0000  0.3763
Sn  0.5000  0.0000  0.6237
Sn  0.5000  0.5000  0.1894
Sn  0.5000  0.5000  0.8106
Pd  0.0000  0.0000  0.5000

Calculated density ... 6.55 Mg/m³
D(E_F) ... 0.598 states/eV/atom
Energy of formation from the pure elements ... -0.355 eV per atom
DFT total energy ... -4.102 eV/atom
Space-group type ... P4/mmm


3.
## Ca3Sn5Pd6 (PBE)

Data for a relaxed structure of Ca3Sn5Pd6.

Cell lengths 4.5346, 14.0668, 9.4895 Å; angles 90.00, 90.00, 90.00 degrees
Fractional coordinates of all 28 atoms:
Ca  0.2500  0.0690  0.2484
Ca  0.2500  0.4310  0.2484
Ca  0.2500  0.7500  0.2855
Ca  0.7500  0.2500  0.7145
Ca  0.7500  0.5690  0.7516
Ca  0.7500  0.9310  0.7516
Sn  0.2500  0.0815  0.6214
Sn  0.2500  0.4185  0.6214
Sn  0.2500  0.6336  0.9913
Sn  0.2500  0.7500  0.7075
Sn  0.2500  0.8664  0.9913
Sn  0.7500  0.1336  0.0087
Sn  0.7500  0.2500  0.2925
Sn  0.7500  0.3664  0.0087
Sn  0.7500  0.5815  0.3786
Sn  0.7500  0.9185  0.3786
Pd  0.2500  0.0508  0.9040
Pd  0.2500  0.2500  0.4664
Pd  0.2500  0.2500  0.9843
Pd  0.2500  0.4492  0.9040
Pd  0.2500  0.6049  0.5215
Pd  0.2500  0.8951  0.5215
Pd  0.7500  0.1049  0.4785
Pd  0.7500  0.3951  0.4785
Pd  0.7500  0.5508  0.0960
Pd  0.7500  0.7500  0.0157
Pd  0.7500  0.7500  0.5336
Pd  0.7500  0.9492  0.0960

Calculated density ... 7.42 Mg/m³
D(E_F) ... 0.519 states/eV/atom
Energy of formation from the pure elements ... -0.703 eV per atom
DFT total energy ... -4.787 eV/atom
Space-group type ... Pmmn


4.
## Ca2Sn2Pd15 (PBE)

Data for a relaxed structure of Ca2Sn2Pd15.

Cell lengths 7.0645, 7.0645, 7.0645 Å; angles 81.73, 81.73, 81.73 degrees
Fractional coordinates of all 19 atoms:
Ca  0.1446  0.1446  0.1446
Ca  0.8554  0.8554  0.8554
Sn  0.3933  0.3933  0.3933
Sn  0.6067  0.6067  0.6067
Pd  0.0000  0.5000  0.5000
Pd  0.1528  0.1528  0.6559
Pd  0.1528  0.6559  0.1528
Pd  0.1955  0.5000  0.8045
Pd  0.1955  0.8045  0.5000
Pd  0.3441  0.8472  0.8472
Pd  0.5000  0.0000  0.5000
Pd  0.5000  0.1955  0.8045
Pd  0.5000  0.5000  0.0000
Pd  0.5000  0.8045  0.1955
Pd  0.6559  0.1528  0.1528
Pd  0.8045  0.1955  0.5000
Pd  0.8045  0.5000  0.1955
Pd  0.8472  0.3441  0.8472
Pd  0.8472  0.8472  0.3441

Calculated density ... 9.28 Mg/m³
D(E_F) ... 1.055 states/eV/atom
Energy of formation from the pure elements ... -0.318 eV per atom
DFT total energy ... -5.050 eV/atom
Space-group type ... R-3m


5.
## CaSn2Pd6 (PBE)

Data for a relaxed structure of CaSn2Pd6.

Cell lengths 8.2414, 8.2414, 8.2414 Å; angles 60.00, 60.00, 60.00 degrees
Fractional coordinates of all 18 atoms:
Ca  0.1250  0.1250  0.1250
Ca  0.8750  0.8750  0.8750
Sn  0.0000  0.5000  0.5000
Sn  0.5000  0.0000  0.5000
Sn  0.5000  0.5000  0.0000
Sn  0.5000  0.5000  0.5000
Pd  0.1140  0.1140  0.6360
Pd  0.1140  0.6360  0.1140
Pd  0.1140  0.6360  0.6360
Pd  0.3640  0.3640  0.8860
Pd  0.3640  0.8860  0.3640
Pd  0.3640  0.8860  0.8860
Pd  0.6360  0.1140  0.1140
Pd  0.6360  0.1140  0.6360
Pd  0.6360  0.6360  0.1140
Pd  0.8860  0.3640  0.3640
Pd  0.8860  0.3640  0.8860
Pd  0.8860  0.8860  0.3640

Calculated density ... 7.69 Mg/m³
D(E_F) ... 0.376 states/eV/atom
Energy of formation from the pure elements ... -0.164 eV per atom
DFT total energy ... -4.738 eV/atom
Space-group type ... Fd-3m


6.
## Ca2Sn3Pd5 (PBE)

Data for a relaxed structure of Ca2Sn3Pd5.

Cell lengths 8.9788, 8.9788, 8.9788 Å; angles 103.32, 90.44, 139.63 degrees
Fractional coordinates of all 20 atoms:
Ca  0.1321  0.2309  0.3630
Ca  0.3679  0.7309  0.0988
Ca  0.6321  0.2691  0.9012
Ca  0.8679  0.7691  0.6370
Sn  0.1440  0.8954  0.0393
Sn  0.2500  0.7500  0.5000
Sn  0.3560  0.3954  0.7514
Sn  0.6440  0.6046  0.2486
Sn  0.7500  0.2500  0.5000
Sn  0.8560  0.1046  0.9607
Pd  0.0350  0.7500  0.2850
Pd  0.0999  0.6684  0.7683
Pd  0.2500  0.2500  0.0000
Pd  0.4001  0.1684  0.5684
Pd  0.4650  0.7500  0.7150
Pd  0.5350  0.2500  0.2850
Pd  0.5999  0.8316  0.4316
Pd  0.7500  0.7500  0.0000
Pd  0.9001  0.3316  0.2317
Pd  0.9650  0.2500  0.7150

Calculated density ... 7.37 Mg/m³
D(E_F) ... 0.472 states/eV/atom
Energy of formation from the pure elements ... -0.644 eV per atom
DFT total energy ... -4.841 eV/atom
Energy relative to the lowest polymorph listed for this composition ... 27 meV/atom
Space-group type ... Ibam


7.
## CaSn3Pd (PBE)

Data for a relaxed structure of CaSn3Pd.

Cell lengths 5.6506, 5.6506, 5.6506 Å; angles 90.00, 90.00, 90.00 degrees
Fractional coordinates of all 5 atoms:
Ca  0.0000  0.0000  0.0000
Sn  0.0000  0.0000  0.5000
Sn  0.0000  0.5000  0.0000
Sn  0.5000  0.0000  0.0000
Pd  0.5000  0.5000  0.5000

Calculated density ... 4.63 Mg/m³
D(E_F) ... 1.010 states/eV/atom
Energy of formation from the pure elements ... 0.965 eV per atom
DFT total energy ... -2.876 eV/atom
Space-group type ... Pm-3m


8.
## Ca2SnPd5 (PBE)

Data for a relaxed structure of Ca2SnPd5.

Cell lengths 5.7865, 5.7865, 5.7865 Å; angles 112.38, 112.38, 103.80 degrees
Fractional coordinates of all 8 atoms:
Ca  0.0000  0.5000  0.5000
Ca  0.5000  0.0000  0.5000
Sn  0.4310  0.4310  0.0000
Pd  0.0312  0.0312  0.0000
Pd  0.5221  0.5221  0.5533
Pd  0.5221  0.9688  0.0000
Pd  0.9688  0.5221  0.0000
Pd  0.9688  0.9688  0.4467

Calculated density ... 8.20 Mg/m³
D(E_F) ... 0.325 states/eV/atom
Energy of formation from the pure elements ... -0.623 eV per atom
DFT total energy ... -4.869 eV/atom
Space-group type ... I4mm


9.
## CaSn2Pd4 (PBE)

Data for a relaxed structure of CaSn2Pd4.

Cell lengths 7.6449, 7.6449, 7.6449 Å; angles 142.01, 142.01, 54.82 degrees
Fractional coordinates of all 7 atoms:
Ca  0.0000  0.0000  0.0000
Sn  0.3872  0.3872  0.0000
Sn  0.6128  0.6128  0.0000
Pd  0.0000  0.5000  0.5000
Pd  0.1981  0.1981  0.0000
Pd  0.5000  0.0000  0.5000
Pd  0.8019  0.8019  0.0000

Calculated density ... 6.95 Mg/m³
D(E_F) ... 0.566 states/eV/atom
Energy of formation from the pure elements ... 0.204 eV per atom
DFT total energy ... -4.193 eV/atom
Energy relative to the lowest polymorph listed for this composition ... 822 meV/atom
Space-group type ... I4/mmm


10.
## CaSn3Pd (PBE)

Data for a relaxed structure of CaSn3Pd.

Cell lengths 9.5343, 9.5343, 6.8438 Å; angles 110.59, 110.59, 26.72 degrees
Fractional coordinates of all 10 atoms:
Ca  0.0898  0.0898  0.3538
Ca  0.9102  0.9102  0.6462
Sn  0.1639  0.1639  0.9275
Sn  0.2865  0.2865  0.6796
Sn  0.4524  0.4524  0.2645
Sn  0.5476  0.5476  0.7355
Sn  0.7135  0.7135  0.3204
Sn  0.8361  0.8361  0.0725
Pd  0.3054  0.3054  0.2934
Pd  0.6946  0.6946  0.7066

Calculated density ... 6.40 Mg/m³
D(E_F) ... 0.365 states/eV/atom
Energy of formation from the pure elements ... -0.444 eV per atom
DFT total energy ... -4.284 eV/atom
Space-group type ... C2/m


11.
## CaSnPd (PBE)

Data for a relaxed structure of CaSnPd.

Cell lengths 4.6726, 4.6726, 3.7658 Å; angles 90.00, 90.00, 120.00 degrees
Fractional coordinates of all 3 atoms:
Ca  0.0000  0.0000  0.0000
Sn  0.6667  0.3333  0.5000
Pd  0.3333  0.6667  0.5000

Calculated density ... 6.18 Mg/m³
D(E_F) ... 0.593 states/eV/atom
Energy of formation from the pure elements ... -0.729 eV per atom
DFT total energy ... -4.462 eV/atom
Space-group type ... P-6m2


12.
## CaSnPd5 (PBE)

Data for a relaxed structure of CaSnPd5.

Cell lengths 4.1278, 4.1278, 7.5913 Å; angles 90.00, 90.00, 90.00 degrees
Fractional coordinates of all 7 atoms:
Ca  0.0000  0.0000  0.0000
Sn  0.5000  0.5000  0.5000
Pd  0.0000  0.5000  0.2775
Pd  0.0000  0.5000  0.7225
Pd  0.5000  0.0000  0.2775
Pd  0.5000  0.0000  0.7225
Pd  0.5000  0.5000  0.0000

Calculated density ... 8.87 Mg/m³
D(E_F) ... 0.411 states/eV/atom
Energy of formation from the pure elements ... -0.497 eV per atom
DFT total energy ... -5.063 eV/atom
Space-group type ... P4/mmm


13.
## CaSn3Pd3 (PBE)

Data for a relaxed structure of CaSn3Pd3.

Cell lengths 7.2017, 7.2017, 7.2017 Å; angles 70.19, 70.19, 70.19 degrees
Fractional coordinates of all 14 atoms:
Ca  0.1700  0.1700  0.1700
Ca  0.8300  0.8300  0.8300
Sn  0.0712  0.7077  0.3812
Sn  0.2923  0.6188  0.9288
Sn  0.3812  0.0712  0.7077
Sn  0.6188  0.9288  0.2923
Sn  0.7077  0.3812  0.0712
Sn  0.9288  0.2923  0.6188
Pd  0.1273  0.4443  0.7630
Pd  0.2370  0.8727  0.5557
Pd  0.4443  0.7630  0.1273
Pd  0.5557  0.2370  0.8727
Pd  0.7630  0.1273  0.4443
Pd  0.8727  0.5557  0.2370

Calculated density ... 7.43 Mg/m³
D(E_F) ... 0.251 states/eV/atom
Energy of formation from the pure elements ... -0.544 eV per atom
DFT total energy ... -4.771 eV/atom
Energy relative to the lowest polymorph listed for this composition ... 0 meV/atom
Space-group type ... R-3


14.
## CaSn4Pd15 (PBE)

Data for a relaxed structure of CaSn4Pd15.

Cell lengths 4.0624, 4.0624, 20.2100 Å; angles 90.00, 90.00, 90.00 degrees
Fractional coordinates of all 20 atoms:
Ca  0.0000  0.0000  0.0000
Sn  0.0000  0.0000  0.2017
Sn  0.0000  0.0000  0.4005
Sn  0.0000  0.0000  0.5995
Sn  0.0000  0.0000  0.7983
Pd  0.0000  0.5000  0.1059
Pd  0.0000  0.5000  0.3018
Pd  0.0000  0.5000  0.5000
Pd  0.0000  0.5000  0.6982
Pd  0.0000  0.5000  0.8941
Pd  0.5000  0.0000  0.1059
Pd  0.5000  0.0000  0.3018
Pd  0.5000  0.0000  0.5000
Pd  0.5000  0.0000  0.6982
Pd  0.5000  0.0000  0.8941
Pd  0.5000  0.5000  0.0000
Pd  0.5000  0.5000  0.2039
Pd  0.5000  0.5000  0.4010
Pd  0.5000  0.5000  0.5990
Pd  0.5000  0.5000  0.7961

Calculated density ... 10.51 Mg/m³
D(E_F) ... 0.574 states/eV/atom
Energy of formation from the pure elements ... -0.504 eV per atom
DFT total energy ... -5.300 eV/atom
Space-group type ... P4/mmm


15.
## Ca2SnPd4 (PBE)

Data for a relaxed structure of Ca2SnPd4.

Cell lengths 8.0592, 8.0592, 8.0592 Å; angles 144.08, 144.08, 51.70 degrees
Fractional coordinates of all 7 atoms:
Ca  0.1306  0.1306  0.0000
Ca  0.8694  0.8694  0.0000
Sn  0.5000  0.5000  0.0000
Pd  0.0000  0.5000  0.5000
Pd  0.3211  0.3211  0.0000
Pd  0.5000  0.0000  0.5000
Pd  0.6789  0.6789  0.0000

Calculated density ... 5.79 Mg/m³
D(E_F) ... 0.507 states/eV/atom
Energy of formation from the pure elements ... -0.195 eV per atom
DFT total energy ... -4.306 eV/atom
Space-group type ... I4/mmm


16.
## CaSnPd6 (PBE)

Data for a relaxed structure of CaSnPd6.

Cell lengths 7.5553, 7.5553, 7.5553 Å; angles 42.52, 42.52, 42.52 degrees
Fractional coordinates of all 8 atoms:
Ca  0.0000  0.0000  0.0000
Sn  0.5000  0.5000  0.5000
Pd  0.0592  0.5693  0.5693
Pd  0.4307  0.4307  0.9408
Pd  0.4307  0.9408  0.4307
Pd  0.5693  0.0592  0.5693
Pd  0.5693  0.5693  0.0592
Pd  0.9408  0.4307  0.4307

Calculated density ... 7.42 Mg/m³
D(E_F) ... 0.566 states/eV/atom
Energy of formation from the pure elements ... -0.153 eV per atom
DFT total energy ... -4.799 eV/atom
Energy relative to the lowest polymorph listed for this composition ... 336 meV/atom
Space-group type ... R-3m


17.
## Ca8SnPd2 (PBE)

Data for a relaxed structure of Ca8SnPd2.

Cell lengths 8.2254, 8.2254, 5.6621 Å; angles 97.91, 97.91, 111.69 degrees
Fractional coordinates of all 11 atoms:
Ca  0.0000  0.0000  0.0000
Ca  0.0488  0.3119  0.6120
Ca  0.1333  0.6181  0.1939
Ca  0.3119  0.0488  0.6120
Ca  0.4398  0.7028  0.7754
Ca  0.6181  0.1333  0.1939
Ca  0.7028  0.4398  0.7754
Ca  0.7520  0.7520  0.3880
Sn  0.3760  0.3760  0.1961
Pd  0.0597  0.6922  0.6940
Pd  0.6922  0.0597  0.6940

Calculated density ... 3.14 Mg/m³
D(E_F) ... 0.528 states/eV/atom
Energy of formation from the pure elements ... -0.429 eV per atom
DFT total energy ... -3.193 eV/atom
Space-group type ... Cm


18.
## Ca8Sn2Pd (PBE)

Data for a relaxed structure of Ca8Sn2Pd.

Cell lengths 9.7889, 9.7889, 7.2537 Å; angles 108.43, 108.43, 31.84 degrees
Fractional coordinates of all 11 atoms:
Ca  0.0212  0.0212  0.2900
Ca  0.2035  0.2035  0.7816
Ca  0.3499  0.3499  0.5567
Ca  0.4034  0.4034  0.0776
Ca  0.5966  0.5966  0.9224
Ca  0.6501  0.6501  0.4433
Ca  0.7965  0.7965  0.2184
Ca  0.9788  0.9788  0.7100
Sn  0.1840  0.1840  0.2052
Sn  0.8160  0.8160  0.7948
Pd  0.5000  0.5000  0.5000

Calculated density ... 3.19 Mg/m³
D(E_F) ... 0.394 states/eV/atom
Energy of formation from the pure elements ... -0.468 eV per atom
DFT total energy ... -3.124 eV/atom
Space-group type ... C2/m


19.
## Ca3Sn2Pd (PBE)

Data for a relaxed structure of Ca3Sn2Pd.

Cell lengths 12.3443, 4.7983, 11.4192 Å; angles 90.00, 90.00, 90.00 degrees
Fractional coordinates of all 24 atoms:
Ca  0.0506  0.2500  0.1174
Ca  0.1174  0.7500  0.5669
Ca  0.2133  0.2500  0.8161
Ca  0.2867  0.7500  0.3161
Ca  0.3826  0.2500  0.0669
Ca  0.4494  0.7500  0.6174
Ca  0.5506  0.2500  0.3826
Ca  0.6174  0.7500  0.9331
Ca  0.7133  0.2500  0.6839
Ca  0.7867  0.7500  0.1839
Ca  0.8826  0.2500  0.4331
Ca  0.9494  0.7500  0.8826
Sn  0.0290  0.7500  0.2990
Sn  0.1996  0.7500  0.0184
Sn  0.3004  0.2500  0.5184
Sn  0.4710  0.2500  0.7990
Sn  0.5290  0.7500  0.2010
Sn  0.6996  0.7500  0.4816
Sn  0.8004  0.2500  0.9816
Sn  0.9710  0.2500  0.7010
Pd  0.1178  0.2500  0.3756
Pd  0.3822  0.7500  0.8756
Pd  0.6178  0.2500  0.1244
Pd  0.8822  0.7500  0.6244

Calculated density ... 4.56 Mg/m³
D(E_F) ... 0.424 states/eV/atom
Energy of formation from the pure elements ... -0.687 eV per atom
DFT total energy ... -3.888 eV/atom
Space-group type ... Pnma


20.
## CaSn3Pd (PBE)

Data for a relaxed structure of CaSn3Pd.

Cell lengths 5.2763, 5.2763, 5.2763 Å; angles 90.00, 90.00, 90.00 degrees
Fractional coordinates of all 5 atoms:
Ca  0.0000  0.0000  0.0000
Sn  0.0000  0.5000  0.5000
Sn  0.5000  0.0000  0.5000
Sn  0.5000  0.5000  0.0000
Pd  0.5000  0.5000  0.5000

Calculated density ... 5.68 Mg/m³
D(E_F) ... 0.366 states/eV/atom
Energy of formation from the pure elements ... -0.179 eV per atom
DFT total energy ... -4.019 eV/atom
Space-group type ... Pm-3m